(1)
The following is a GGA-PBE calculation of AlPb after structural relaxation, from the Alexandria database.

Structure (CIF):
```
data_AlPb
_cell_length_a 5.9398
_cell_length_b 5.9398
_cell_length_c 5.9398
_cell_angle_alpha 90.00
_cell_angle_beta 90.00
_cell_angle_gamma 90.00
_space_group_name_H-M_alt 'F m -3 m'
_space_group_IT_number 225
_space_group_name_Hall '-F 4 2 3'
loop_
_atom_site_label
_atom_site_fract_x
_atom_site_fract_y
_atom_site_fract_z
Al1 0.0000 0.0000 0.0000
Pb1 0.0000 0.0000 0.5000
```

Values from the calculation:
Energy relative to the elements in eV/atom: 0.338

***

(2)
The following is a GGA-PBE calculation of AlPb3 after structural relaxation, from the Alexandria database.

Structure (CIF):
```
data_AlPb3
_cell_length_a 4.8699
_cell_length_b 4.8699
_cell_length_c 4.8699
_cell_angle_alpha 90.00
_cell_angle_beta 90.00
_cell_angle_gamma 90.00
_space_group_name_H-M_alt 'P m -3 m'
_space_group_IT_number 221
_space_group_name_Hall '-P 4 2 3'
loop_
_atom_site_label
_atom_site_fract_x
_atom_site_fract_y
_atom_site_fract_z
Al1 0.0000 0.0000 0.0000
Pb1 0.0000 0.5000 0.5000
```

Values from the calculation:
Energy relative to the elements in eV/atom: 0.173

***

(3)
The following is a GGA-PBE calculation of AlPb3 after structural relaxation, from the Alexandria database.

Structure (CIF):
```
data_AlPb3
_cell_length_a 3.4101
_cell_length_b 3.4101
_cell_length_c 11.3518
_cell_angle_alpha 90.00
_cell_angle_beta 90.00
_cell_angle_gamma 120.00
_space_group_name_H-M_alt 'P -6 m 2'
_space_group_IT_number 187
_space_group_name_Hall 'P -6 2'
loop_
_atom_site_label
_atom_site_fract_x
_atom_site_fract_y
_atom_site_fract_z
Al1 0.0000 0.0000 0.0000
Pb1 0.0000 0.0000 0.5000
Pb2 0.6667 0.3333 0.2263
```

Values from the calculation:
Energy relative to the elements in eV/atom: 0.169

***

(4)
The following is a GGA-PBE calculation of Al2Pb after structural relaxation, from the Alexandria database.

Structure (CIF):
```
data_Al2Pb
_cell_length_a 3.4501
_cell_length_b 18.7694
_cell_length_c 4.3149
_cell_angle_alpha 90.00
_cell_angle_beta 90.00
_cell_angle_gamma 90.00
_space_group_name_H-M_alt 'C m c m'
_space_group_IT_number 63
_space_group_name_Hall '-C 2c 2'
loop_
_atom_site_label
_atom_site_fract_x
_atom_site_fract_y
_atom_site_fract_z
Al1 0.0000 0.0463 0.2500
Al2 0.0000 0.4303 0.2500
Pb1 0.0000 0.3118 0.7500
```

Values from the calculation:
Energy relative to the elements in eV/atom: 0.134

***

(5)
The following is a GGA-PBE calculation of Al4Pb3 after structural relaxation, from the Alexandria database.

Structure (CIF):
```
data_Al4Pb3
_cell_length_a 6.5712
_cell_length_b 6.5712
_cell_length_c 5.0625
_cell_angle_alpha 90.00
_cell_angle_beta 90.00
_cell_angle_gamma 120.00
_space_group_name_H-M_alt 'P 6/m m m'
_space_group_IT_number 191
_space_group_name_Hall '-P 6 2'
loop_
_atom_site_label
_atom_site_fract_x
_atom_site_fract_y
_atom_site_fract_z
Al1 0.0000 0.0000 0.2487
Al2 0.3333 0.6667 0.5000
Pb1 0.0000 0.5000 0.0000
```

Values from the calculation:
Energy relative to the elements in eV/atom: 0.448

***

(6)
The following is a GGA-PBE calculation of AlPb after structural relaxation, from the Alexandria database.

Structure (CIF):
```
data_AlPb
_cell_length_a 12.5725
_cell_length_b 5.3573
_cell_length_c 4.7483
_cell_angle_alpha 90.00
_cell_angle_beta 90.00
_cell_angle_gamma 90.00
_space_group_name_H-M_alt 'P m n 21'
_space_group_IT_number 31
_space_group_name_Hall 'P 2ac -2'
loop_
_atom_site_label
_atom_site_fract_x
_atom_site_fract_y
_atom_site_fract_z
Al1 0.0000 0.1588 0.0000
Al2 0.1960 0.4449 0.0221
Pb1 0.0000 0.6220 0.3332
Pb2 0.1584 0.0775 0.5314
```

Values from the calculation:
Energy relative to the elements in eV/atom: 0.261

***

(7)
The following is a GGA-PBE calculation of AlPb3 after structural relaxation, from the Alexandria database.

Structure (CIF):
```
data_AlPb3
_cell_length_a 3.6466
_cell_length_b 3.6466
_cell_length_c 30.1572
_cell_angle_alpha 90.00
_cell_angle_beta 90.00
_cell_angle_gamma 120.00
_space_group_name_H-M_alt 'R -3 m'
_space_group_IT_number 166
_space_group_name_Hall '-R 3 2"'
loop_
_atom_site_label
_atom_site_fract_x
_atom_site_fract_y
_atom_site_fract_z
Al1 0.0000 0.0000 0.0000
Pb1 0.0000 0.0000 0.2615
Pb2 0.0000 0.0000 0.5000
```

Values from the calculation:
Energy relative to the elements in eV/atom: 0.158

***

(8)
The following is a GGA-PBE calculation of AlPb2 after structural relaxation, from the Alexandria database.

Structure (CIF):
```
data_AlPb2
_cell_length_a 7.5816
_cell_length_b 4.8007
_cell_length_c 9.1972
_cell_angle_alpha 90.00
_cell_angle_beta 90.00
_cell_angle_gamma 90.00
_space_group_name_H-M_alt 'P n m a'
_space_group_IT_number 62
_space_group_name_Hall '-P 2ac 2n'
loop_
_atom_site_label
_atom_site_fract_x
_atom_site_fract_y
_atom_site_fract_z
Al1 0.2464 0.2500 0.1201
Pb1 0.0253 0.2500 0.8389
Pb2 0.1440 0.2500 0.4301
```

Values from the calculation:
Energy relative to the elements in eV/atom: 0.176

***

(9)
The following is a GGA-PBE calculation of AlPb2 after structural relaxation, from the Alexandria database.

Structure (CIF):
```
data_AlPb2
_cell_length_a 13.1338
_cell_length_b 3.3998
_cell_length_c 7.6542
_cell_angle_alpha 90.00
_cell_angle_beta 105.21
_cell_angle_gamma 90.00
_space_group_name_H-M_alt 'C 1 2/m 1'
_space_group_IT_number 12
_space_group_name_Hall '-C 2y'
loop_
_atom_site_label
_atom_site_fract_x
_atom_site_fract_y
_atom_site_fract_z
Al1 0.1703 0.0000 0.0406
Pb1 0.0292 0.5000 0.2296
Pb2 0.1799 0.0000 0.6445
```

Values from the calculation:
Energy relative to the elements in eV/atom: 0.137

***

(10)
The following is a GGA-PBE calculation of AlPb after structural relaxation, from the Alexandria database.

Structure (CIF):
```
data_AlPb
_cell_length_a 4.1398
_cell_length_b 4.1398
_cell_length_c 7.3256
_cell_angle_alpha 90.00
_cell_angle_beta 90.00
_cell_angle_gamma 120.00
_space_group_name_H-M_alt 'P 63/m m c'
_space_group_IT_number 194
_space_group_name_Hall '-P 6c 2c'
loop_
_atom_site_label
_atom_site_fract_x
_atom_site_fract_y
_atom_site_fract_z
Al1 0.3333 0.6667 0.2500
Pb1 0.0000 0.0000 0.0000
```

Values from the calculation:
Energy relative to the elements in eV/atom: 0.360

***

(11)
The following is a GGA-PBE calculation of AlPb3 after structural relaxation, from the Alexandria database.

Structure (CIF):
```
data_AlPb3
_cell_length_a 7.3888
_cell_length_b 9.5672
_cell_length_c 6.5638
_cell_angle_alpha 90.00
_cell_angle_beta 90.00
_cell_angle_gamma 90.00
_space_group_name_H-M_alt 'P n m a'
_space_group_IT_number 62
_space_group_name_Hall '-P 2ac 2n'
loop_
_atom_site_label
_atom_site_fract_x
_atom_site_fract_y
_atom_site_fract_z
Al1 0.1053 0.2500 0.0385
Pb1 0.0052 0.2500 0.5770
Pb2 0.1881 0.5432 0.8323
```

Values from the calculation:
Energy relative to the elements in eV/atom: 0.138

***

(12)
The following is a GGA-PBE calculation of AlPb2 after structural relaxation, from the Alexandria database.

Structure (CIF):
```
data_AlPb2
_cell_length_a 5.1967
_cell_length_b 7.6447
_cell_length_c 4.5088
_cell_angle_alpha 90.00
_cell_angle_beta 90.00
_cell_angle_gamma 90.00
_space_group_name_H-M_alt 'P n n m'
_space_group_IT_number 58
_space_group_name_Hall '-P 2 2n'
loop_
_atom_site_label
_atom_site_fract_x
_atom_site_fract_y
_atom_site_fract_z
Al1 0.0000 0.0000 0.0000
Pb1 0.2169 0.3513 0.0000
```

Values from the calculation:
Energy relative to the elements in eV/atom: 0.262

***

The calculation returns the following volume values, one per record and in order: 26.20, 28.87, 28.58, 23.28, 27.04, 26.65, 28.94, 27.90, 27.48, 27.18, 29.00, 29.85 A^3/atom.
The calculation returns the following total moment values, one per record and in order: 0.0, 0.0, 0.0, 0.0, 0.0, 0.0, 0.0, 0.0, 0.0, 0.0, 0.0, 0.0 μB per cell.